VASP calculation (PBE) on crystalline Rb2SiBSe at its relaxed geometry.

- total magnetic moment (μB/cell) = 2.10
- energy relative to the elements, uncorrected (eV/atom) = 0.9748
- density (Mg/m³) = 2.2

Cell: 6.805 4.786 6.805 Å, 90.00 90.00 90.00°
Last column: magnetic moment on the atom in μB.
Atoms (fractional coordinates):
Si  0.000  0.000  0.000  0.07
B  0.500  0.500  0.500  0.55
Se  0.000  0.500  0.000  0.03
Rb  0.000  0.000  0.500  0.02
Rb  0.500  0.000  0.000  0.02